1.
The following is a DFT calculation (PBE) of crystalline AlIn2Au at its relaxed geometry.

Lattice parameters (Å, degrees): 8.7986 8.7986 8.7986 22.75 22.75 22.75
Fractional positions:
1 Au 0.2500 0.2500 0.2500
2 Al 0.7500 0.7500 0.7500
3 In 0.9971 0.9971 0.9971
4 In 0.5029 0.5029 0.5029

Calculated values
* DFT formation energy: 28 meV per atom
* crystal system: trigonal

---

2.
The following is a DFT calculation (PBE) of crystalline AlInAu2 at its relaxed geometry.

Lattice parameters (Å, degrees): 3.7691 3.7691 5.5092 90.00 90.00 90.10
Fractional positions:
1 Au 0.0000 0.0000 0.9527
2 Au 0.5000 0.5000 0.2850
3 Al 0.5000 0.5000 0.7997
4 In 0.0000 0.0000 0.4626

Calculated values
* DFT formation energy: -196 meV per atom
* crystal system: orthorhombic

---

Repeat the first record exactly.
The following is a DFT calculation (PBE) of crystalline AlIn2Au at its relaxed geometry.

Lattice parameters (Å, degrees): 8.7986 8.7986 8.7986 22.75 22.75 22.75
Fractional positions:
1 Au 0.2500 0.2500 0.2500
2 Al 0.7500 0.7500 0.7500
3 In 0.9971 0.9971 0.9971
4 In 0.5029 0.5029 0.5029

Calculated values
* DFT formation energy: 28 meV per atom
* crystal system: trigonal

---

Repeat the first record exactly.
The following is a DFT calculation (PBE) of crystalline AlIn2Au at its relaxed geometry.

Lattice parameters (Å, degrees): 8.7986 8.7986 8.7986 22.75 22.75 22.75
Fractional positions:
1 Au 0.2500 0.2500 0.2500
2 Al 0.7500 0.7500 0.7500
3 In 0.9971 0.9971 0.9971
4 In 0.5029 0.5029 0.5029

Calculated values
* DFT formation energy: 28 meV per atom
* crystal system: trigonal